DFT (GGA-PBE) results for an optimized crystal structure of YTlTe2.

abc: 7.7933 7.7933 7.7933
angles: 90.00 90.00 90.00
Closest atoms and distances in Å follow each position.
Space group F-43m (No. 216)
One atom of each set of equivalent atoms:
1 Y 0.0000 0.0000 0.0000 [4 per cell]  4 Tl 3.37, 4 Te 3.37
2 Tl 0.2500 0.2500 0.2500 [4 per cell]  4 Te 3.37, 4 Y 3.37
3 Te 0.0000 0.0000 0.5000 [4 per cell]  4 Tl 3.37, 4 Te 3.37
4 Te 0.2500 0.2500 0.7500 [4 per cell]  4 Te 3.37, 4 Y 3.37

Computed properties:
Total magnetic moment in μB/f.u.: 0.0
E_form (uncorrected) in meV/atom: -320

DFT (GGA-PBE) results for an optimized crystal structure of ErPuPb.

abc: 6.6165 14.5423 15.6676
angles: 90.00 90.00 90.00
Closest atoms and distances in Å follow each position.
Space group Fddd (No. 70, origin choice 2)
One atom of each set of equivalent atoms:
1 Er 0.0000 0.0000 0.0000 [16 per cell]  2 Pu 3.14, 4 Pb 3.30-3.35
2 Pu 0.1250 0.1250 0.5393 [16 per cell]  1 Pu 2.69
3 Pb 0.1250 0.3268 0.6250 [16 per cell]  4 Pu 3.14-3.23, 4 Er 3.30-3.35

Computed properties:
Energy of formation from the pure elements in meV/atom: 193
Total magnetic moment in μB/f.u.: 6.2

DFT (GGA-PBE) results for an optimized crystal structure of LaNd2Tl.

abc: 5.0491 5.0491 4.9575
angles: 90.00 90.00 90.00
Closest atoms and distances in Å follow each position.
Space group P4/mmm (No. 123)
One atom of each set of equivalent atoms:
1 La 0.0000 0.0000 0.0000 [1 per cell]  8 Nd 3.54, 4 Tl 3.57
2 Nd 0.0000 0.5000 0.5000 [2 per cell]  4 Tl 3.54, 4 La 3.54, 4 Nd 3.57
3 Tl 0.5000 0.5000 0.0000 [1 per cell]  8 Nd 3.54, 4 La 3.57

Computed properties:
Energy of formation from the pure elements in meV/atom: -216
Total magnetic moment in μB/f.u.: 0.0

DFT (GGA-PBE) results for an optimized crystal structure of ZrOsSe.

abc: 3.3167 5.3899 6.8907
angles: 74.02 88.18 72.84
Closest atoms and distances in Å follow each position.
Space group P1 (No. 1)
One atom of each set of equivalent atoms:
1 Zr 0.0000 0.0000 0.0000 [1 per cell]  4 Se 2.72-2.96, 4 Os 2.76-2.85
2 Zr 0.1103 0.7226 0.5314 [1 per cell]  2 Os 2.66-2.73, 3 Se 2.83-2.89
3 Os 0.3910 0.1815 0.2702 [1 per cell]  2 Se 2.50-2.51, 1 Os 2.75
4 Os 0.6603 0.6240 0.2518 [1 per cell]  1 Se 2.61, 4 Zr 2.66-2.77, 3 Os 2.75-2.91
5 Se 0.4308 0.1090 0.6448 [1 per cell]  1 Os 2.50, 1 Zr 2.80
6 Se 0.4434 0.5037 0.9364 [1 per cell]  2 Os 2.51-2.61, 2 Zr 2.72-2.79

Computed properties:
Total magnetic moment in μB/f.u.: 0.0
E_form (uncorrected) in meV/atom: -434